(1)
Entry from Alexandria: PmNdEu after structural relaxation (PBE-GGA).

Structure (CIF):
```
data_PmNdEu
_chemical_formula_sum 'Pm1 Nd1 Eu1'
_cell_length_a 3.7226
_cell_length_b 3.7226
_cell_length_c 9.1516
_cell_angle_alpha 90.00
_cell_angle_beta 90.00
_cell_angle_gamma 120.00
_symmetry_space_group_name_H-M 'P 3 m 1'
_symmetry_Int_Tables_number 156
loop_
_symmetry_equiv_pos_as_xyz
'x,y,z'
'-y,x-y,z'
'-x+y,-x,z'
'-y,-x,z'
'-x+y,y,z'
'x,x-y,z'
loop_
_atom_site_label
_atom_site_type_symbol
_atom_site_fract_x
_atom_site_fract_y
_atom_site_fract_z
_atom_site_occupancy
Pm1 Pm 0.0000 0.0000 0.0000 1
Nd1 Nd 0.6667 0.3333 0.3149 1
Eu1 Eu 0.3333 0.6667 0.6587 1
```

DOS(E_F) = 3.4 states/eV/f.u.
Total DFT energy (no corrections) = -6.566 eV per atom

---

(2)
Entry from Alexandria: PmNd2Eu after structural relaxation (PBE-GGA).

Structure (CIF):
```
data_PmNd2Eu
_chemical_formula_sum 'Pm4 Nd8 Eu4'
_cell_length_a 8.336
_cell_length_b 8.336
_cell_length_c 8.336
_cell_angle_alpha 90.00
_cell_angle_beta 90.00
_cell_angle_gamma 90.00
_symmetry_space_group_name_H-M 'F m -3 m'
_symmetry_Int_Tables_number 225
_symmetry_space_group_name_Hall '-F 4 2 3'
loop_
_atom_site_label
_atom_site_type_symbol
_atom_site_fract_x
_atom_site_fract_y
_atom_site_fract_z
_atom_site_occupancy
Pm1 Pm 0.000 0.000 0.000 1
Nd1 Nd 0.250 0.250 0.250 1
Eu1 Eu 0.000 0.000 0.500 1
```

DOS(E_F) = 6.2 states/eV/f.u.
Total DFT energy (no corrections) = -6.004 eV per atom

---

(3)
Entry from Alexandria: PmPrNdEu after structural relaxation (PBE-GGA).

Structure (CIF):
```
data_PmPrNdEu
_chemical_formula_sum 'Pm4 Pr4 Nd4 Eu4'
_cell_length_a 8.356
_cell_length_b 8.356
_cell_length_c 8.356
_cell_angle_alpha 90.00
_cell_angle_beta 90.00
_cell_angle_gamma 90.00
_symmetry_space_group_name_H-M 'F -4 3 m'
_symmetry_Int_Tables_number 216
_symmetry_space_group_name_Hall 'F -4 2 3'
loop_
_atom_site_label
_atom_site_type_symbol
_atom_site_fract_x
_atom_site_fract_y
_atom_site_fract_z
_atom_site_occupancy
Pm1 Pm 0.000 0.000 0.000 1
Pr1 Pr 0.250 0.250 0.250 1
Nd1 Nd 0.250 0.250 0.750 1
Eu1 Eu 0.000 0.000 0.500 1
```

DOS(E_F) = 6.1 states/eV/f.u.
Total DFT energy (no corrections) = -6.010 eV per atom

---

(4)
Entry from Alexandria: PmNdEuRu after structural relaxation (PBE-GGA).

Structure (CIF):
```
data_PmNdEuRu
_chemical_formula_sum 'Pm4 Nd4 Eu4 Ru4'
_cell_length_a 7.463
_cell_length_b 7.463
_cell_length_c 7.463
_cell_angle_alpha 90.00
_cell_angle_beta 90.00
_cell_angle_gamma 90.00
_symmetry_space_group_name_H-M 'F -4 3 m'
_symmetry_Int_Tables_number 216
_symmetry_space_group_name_Hall 'F -4 2 3'
loop_
_atom_site_label
_atom_site_type_symbol
_atom_site_fract_x
_atom_site_fract_y
_atom_site_fract_z
_atom_site_occupancy
Pm1 Pm 0.000 0.000 0.000 1
Nd1 Nd 0.000 0.000 0.500 1
Eu1 Eu 0.250 0.250 0.750 1
Ru1 Ru 0.250 0.250 0.250 1
```

DOS(E_F) = 4.7 states/eV/f.u.
Total DFT energy (no corrections) = -7.104 eV per atom

---

Number 1: volume 36.6 A^3/atom. Number 2: volume 36.2 A^3/atom. Number 3: volume 36.5 A^3/atom. Number 4: volume 26.0 A^3/atom.